(1)
# K6SBr2O

A geometry-optimized K6SBr2O structure (PBE, Alexandria).

Properties
DFT total energy: -3.18 eV per atom
raw formation energy: -1.28 eV/atom

a = 7.687 Å, b = 8.416 Å, c = 11.198 Å
α = 90.00°, β = 90.00°, γ = 90.00°
Fractional positions:
K1 0.736 0.981 0.500
K2 0.000 0.788 0.765
K3 0.500 0.212 0.735
K4 0.238 0.414 0.500
K5 0.500 0.212 0.265
K6 0.000 0.788 0.235
K7 0.764 0.019 0.000
K8 0.264 0.981 0.500
K9 0.738 0.586 0.000
K10 0.236 0.019 0.000
K11 0.262 0.586 0.000
K12 0.762 0.414 0.500
S1 0.000 0.703 0.500
S2 0.500 0.297 0.000
O1 0.500 0.216 0.500
O2 0.000 0.784 0.000
Br1 0.500 0.817 0.213
Br2 0.000 0.183 0.287
Br3 0.500 0.817 0.787
Br4 0.000 0.183 0.713


(2)
# Sm2Tl3VSe6

A geometry-optimized Sm2Tl3VSe6 structure (PBE, Alexandria).

Properties
DFT total energy: -4.94 eV per atom
raw formation energy: -1.06 eV/atom

a = 7.113 Å, b = 7.113 Å, c = 8.078 Å
α = 98.52°, β = 98.52°, γ = 119.79°
Fractional positions:
Se1 0.237 0.237 0.792
Se2 0.934 0.630 0.802
Se3 0.630 0.934 0.802
Se4 0.370 0.066 0.198
Se5 0.066 0.370 0.198
Se6 0.763 0.763 0.208
V1 0.000 0.000 0.000
Tl1 0.500 0.500 0.500
Tl2 0.174 0.826 0.500
Tl3 0.826 0.174 0.500
Sm1 0.334 0.666 0.000
Sm2 0.666 0.334 0.000


(3)
# Cd3WCl

A geometry-optimized Cd3WCl structure (PBE, Alexandria).

Properties
DFT total energy: -2.54 eV per atom
raw formation energy: 0.97 eV/atom
ΔE to the lowest computed polymorph: 0 meV/atom

a = 5.538 Å, b = 5.538 Å, c = 5.538 Å
α = 90.00°, β = 90.00°, γ = 90.00°
Fractional positions:
Cd1 0.000 0.000 0.500
Cd2 0.500 0.000 0.000
Cd3 0.000 0.500 0.000
Cl1 0.500 0.500 0.500
W1 0.000 0.000 0.000


(4)
# CsMgBr3

A geometry-optimized CsMgBr3 structure (PBE, Alexandria).

Properties
DFT total energy: -3.14 eV per atom
raw formation energy: -1.65 eV/atom

a = 6.624 Å, b = 13.555 Å, c = 13.555 Å
α = 120.00°, β = 90.00°, γ = 90.00°
Fractional positions:
Mg1 0.396 0.333 0.667
Mg2 0.396 0.667 0.333
Mg3 0.942 0.000 0.000
Mg4 0.896 0.667 0.333
Mg5 0.896 0.333 0.667
Mg6 0.442 0.000 0.000
Cs1 0.163 0.000 0.334
Cs2 0.163 0.334 0.000
Cs3 0.663 0.666 0.000
Cs4 0.663 0.000 0.666
Cs5 0.663 0.334 0.334
Cs6 0.163 0.666 0.666
Br1 0.146 0.176 0.667
Br2 0.646 0.333 0.824
Br3 0.193 0.000 0.843
Br4 0.646 0.824 0.333
Br5 0.193 0.157 0.157
Br6 0.646 0.667 0.490
Br7 0.146 0.824 0.490
Br8 0.146 0.510 0.333
Br9 0.146 0.490 0.824
Br10 0.693 0.000 0.157
Br11 0.146 0.333 0.510
Br12 0.693 0.843 0.843
Br13 0.646 0.176 0.510
Br14 0.146 0.667 0.176
Br15 0.646 0.490 0.667
Br16 0.693 0.157 0.000
Br17 0.193 0.843 0.000
Br18 0.646 0.510 0.176


(5)
# KTl2Co

A geometry-optimized KTl2Co structure (PBE, Alexandria).

Properties
formation energy: 671 meV/atom
DFT total energy: -2.56 eV per atom

a = 3.236 Å, b = 6.126 Å, c = 6.553 Å
α = 56.17°, β = 90.00°, γ = 90.00°
Fractional positions:
Tl1 0.500 0.500 0.000
Tl2 0.000 0.000 0.000
Co1 0.500 0.500 0.500
K1 0.000 0.000 0.500


(6)
# Ce2CuS4Br

A geometry-optimized Ce2CuS4Br structure (PBE, Alexandria).

Properties
DFT total energy: -5.62 eV per atom
raw formation energy: -1.35 eV/atom

a = 3.976 Å, b = 6.164 Å, c = 8.757 Å
α = 77.04°, β = 76.88°, γ = 71.19°
Fractional positions:
Br1 0.500 0.500 0.500
S1 0.837 0.069 0.257
S2 0.163 0.931 0.743
S3 0.384 0.316 0.915
S4 0.616 0.684 0.085
Cu1 0.000 0.000 0.000
Ce1 0.195 0.388 0.222
Ce2 0.805 0.612 0.778


Number 1: calculated density 2.03 g/cm³. Number 2: calculated density 7.05 g/cm³. Number 3: calculated density 5.44 g/cm³. Number 4: calculated density 3.75 g/cm³. Number 5: calculated density 7.80 g/cm³. Number 6: calculated density 4.70 g/cm³.